Density functional theory data (PBE-GGA) for KVInRh2 after structural relaxation.

Cell and atoms, written as POSCAR:
```
KVInRh2
1.0
4.964 0.000 0.000
0.000 4.964 0.000
0.000 0.000 5.392
K V In Rh
1 1 1 2
direct
0.000 0.000 0.000
0.500 0.500 0.000
0.000 0.000 0.500
0.000 0.500 0.500
0.500 0.000 0.500
```

Calculated values
The uncorrected energy comes out at -3.924 eV per atom. The calculated volume is 133 Å³ per cell.